A) ! Mn2IrBr, relaxed, DFT PBE; values from VASP
! **Volume**: 16.96 Å³ per atom
&SYSTEM
  ibrav = 0, nat = 4, ntyp = 3
/
ATOMIC_SPECIES
Mn 54.94 Mn.upf
Ir 192.22 Ir.upf
Br 79.90 Br.upf
CELL_PARAMETERS angstrom
-1.897 1.897 4.712
1.897 -1.897 4.712
1.897 1.897 -4.712
ATOMIC_POSITIONS crystal
Mn 0.000 0.000 0.000
Mn 0.750 0.250 0.500
Ir 0.500 0.500 0.000
Br 0.250 0.750 0.500


B) ! Mn2IrBr, relaxed, DFT PBE; values from VASP
! **Volume**: 16.98 Å³ per atom
&SYSTEM
  ibrav = 0, nat = 4, ntyp = 3
/
ATOMIC_SPECIES
Mn 54.94 Mn.upf
Ir 192.22 Ir.upf
Br 79.90 Br.upf
CELL_PARAMETERS angstrom
0.000 3.239 3.239
3.239 0.000 3.239
3.239 3.239 0.000
ATOMIC_POSITIONS crystal
Mn 0.000 0.000 0.000
Mn 0.250 0.250 0.250
Ir 0.500 0.500 0.500
Br 0.750 0.750 0.750


C) ! Mn2IrBr, relaxed, DFT PBE; values from VASP
! **Volume**: 17.03 Å³ per atom
&SYSTEM
  ibrav = 0, nat = 4, ntyp = 3
/
ATOMIC_SPECIES
Mn 54.94 Mn.upf
Ir 192.22 Ir.upf
Br 79.90 Br.upf
CELL_PARAMETERS angstrom
3.110 0.000 0.000
0.000 3.110 0.000
0.000 0.000 7.043
ATOMIC_POSITIONS crystal
Mn 0.000 0.000 0.000
Mn 0.500 0.500 0.225
Ir 0.500 0.500 0.831
Br 0.000 0.000 0.458


D) ! Mn2IrBr, relaxed, DFT PBE; values from VASP
! **Volume**: 18.11 Å³ per atom
&SYSTEM
  ibrav = 0, nat = 4, ntyp = 3
/
ATOMIC_SPECIES
Mn 54.94 Mn.upf
Ir 192.22 Ir.upf
Br 79.90 Br.upf
CELL_PARAMETERS angstrom
3.165 0.000 0.000
0.000 3.165 0.000
0.000 0.000 7.229
ATOMIC_POSITIONS crystal
Mn 0.000 0.000 0.208
Mn 0.000 0.000 0.792
Ir 0.500 0.500 0.000
Br 0.500 0.500 0.500


Unit: eV/atom. Relative energies: A) 0.459; B) 0.639; C) 0.222; D) 0.000.


A) ! MnIr2Br, relaxed, DFT PBE; values from VASP
! **Volume**: 17.22 Å³ per atom
&SYSTEM
  ibrav = 0, nat = 4, ntyp = 3
/
ATOMIC_SPECIES
Mn 54.94 Mn.upf
Ir 192.22 Ir.upf
Br 79.90 Br.upf
CELL_PARAMETERS angstrom
1.435 -2.460 0.000
1.435 2.460 0.000
0.000 0.000 9.759
ATOMIC_POSITIONS crystal
Mn 0.000 0.000 0.000
Ir 0.000 0.000 0.445
Ir 0.500 0.500 0.213
Br 0.500 0.500 0.783


B) ! MnIr2Br, relaxed, DFT PBE; values from VASP
! **Volume**: 20.22 Å³ per atom
&SYSTEM
  ibrav = 0, nat = 4, ntyp = 3
/
ATOMIC_SPECIES
Mn 54.94 Mn.upf
Ir 192.22 Ir.upf
Br 79.90 Br.upf
CELL_PARAMETERS angstrom
2.699 0.000 0.000
0.000 2.699 0.000
0.000 0.000 11.099
ATOMIC_POSITIONS crystal
Mn 0.000 0.000 0.000
Ir 0.500 0.500 0.156
Ir 0.500 0.500 0.844
Br 0.000 0.000 0.500


Unit: eV/atom. Relative energies: A) 0.096; B) 0.000.


A) ! MnIr2Br, relaxed, DFT PBE; values from VASP
! **Volume**: 16.23 Å³ per atom
&SYSTEM
  ibrav = 0, nat = 4, ntyp = 3
/
ATOMIC_SPECIES
Mn 54.94 Mn.upf
Ir 192.22 Ir.upf
Br 79.90 Br.upf
CELL_PARAMETERS angstrom
3.033 0.000 0.000
0.000 3.033 0.000
0.000 0.000 7.058
ATOMIC_POSITIONS crystal
Mn 0.000 0.000 0.000
Ir 0.500 0.500 0.198
Ir 0.500 0.500 0.802
Br 0.000 0.000 0.500


B) ! MnIr2Br, relaxed, DFT PBE; values from VASP
! **Volume**: 15.99 Å³ per atom
&SYSTEM
  ibrav = 0, nat = 4, ntyp = 3
/
ATOMIC_SPECIES
Mn 54.94 Mn.upf
Ir 192.22 Ir.upf
Br 79.90 Br.upf
CELL_PARAMETERS angstrom
2.888 0.000 0.000
0.000 4.583 0.000
0.000 0.000 4.835
ATOMIC_POSITIONS crystal
Mn 0.000 0.000 0.000
Ir 0.000 0.500 0.500
Ir 0.500 0.500 0.000
Br 0.500 0.000 0.500


C) ! MnIr2Br, relaxed, DFT PBE; values from VASP
! **Volume**: 16.02 Å³ per atom
&SYSTEM
  ibrav = 0, nat = 4, ntyp = 3
/
ATOMIC_SPECIES
Mn 54.94 Mn.upf
Ir 192.22 Ir.upf
Br 79.90 Br.upf
CELL_PARAMETERS angstrom
-2.247 2.247 3.171
2.247 -2.247 3.171
2.247 2.247 -3.171
ATOMIC_POSITIONS crystal
Mn 0.000 0.000 0.000
Ir 0.250 0.750 0.500
Ir 0.500 0.500 0.000
Br 0.750 0.250 0.500


Unit: eV/atom. Relative energies: A) 0.000; B) 0.161; C) 0.352.


A) ! MnIr2Br, relaxed, DFT PBE; values from VASP
! **Volume**: 16.37 Å³ per atom
&SYSTEM
  ibrav = 0, nat = 4, ntyp = 3
/
ATOMIC_SPECIES
Mn 54.94 Mn.upf
Ir 192.22 Ir.upf
Br 79.90 Br.upf
CELL_PARAMETERS angstrom
4.876 -1.465 0.000
4.876 1.465 0.000
-0.671 0.000 4.582
ATOMIC_POSITIONS crystal
Mn 0.000 0.000 0.000
Ir 0.280 0.280 0.779
Ir 0.720 0.720 0.221
Br 0.500 0.500 0.500


B) ! MnIr2Br, relaxed, DFT PBE; values from VASP
! **Volume**: 20.30 Å³ per atom
&SYSTEM
  ibrav = 0, nat = 4, ntyp = 3
/
ATOMIC_SPECIES
Mn 54.94 Mn.upf
Ir 192.22 Ir.upf
Br 79.90 Br.upf
CELL_PARAMETERS angstrom
2.864 0.000 0.000
0.000 3.768 0.000
0.000 0.000 7.525
ATOMIC_POSITIONS crystal
Mn 0.000 0.000 0.000
Ir 0.000 0.000 0.653
Ir 0.500 0.500 0.776
Br 0.500 0.500 0.230


C) ! MnIr2Br, relaxed, DFT PBE; values from VASP
! **Volume**: 21.64 Å³ per atom
&SYSTEM
  ibrav = 0, nat = 4, ntyp = 3
/
ATOMIC_SPECIES
Mn 54.94 Mn.upf
Ir 192.22 Ir.upf
Br 79.90 Br.upf
CELL_PARAMETERS angstrom
4.367 -1.461 0.000
4.367 1.461 0.000
-0.355 0.000 6.781
ATOMIC_POSITIONS crystal
Mn 0.000 0.000 0.000
Ir 0.448 0.448 0.302
Ir 0.716 0.716 0.204
Br 0.475 0.475 0.701


Unit: eV/atom. Relative energies: A) 0.152; B) 0.074; C) 0.000.


A) ! MnIr2Br, relaxed, DFT PBE; values from VASP
! **Volume**: 15.95 Å³ per atom
&SYSTEM
  ibrav = 0, nat = 4, ntyp = 3
/
ATOMIC_SPECIES
Mn 54.94 Mn.upf
Ir 192.22 Ir.upf
Br 79.90 Br.upf
CELL_PARAMETERS angstrom
4.130 0.000 0.000
0.000 4.130 0.000
0.000 0.000 3.740
ATOMIC_POSITIONS crystal
Mn 0.000 0.000 0.000
Ir 0.000 0.500 0.500
Ir 0.500 0.000 0.500
Br 0.500 0.500 0.000


B) ! MnIr2Br, relaxed, DFT PBE; values from VASP
! **Volume**: 15.93 Å³ per atom
&SYSTEM
  ibrav = 0, nat = 4, ntyp = 3
/
ATOMIC_SPECIES
Mn 54.94 Mn.upf
Ir 192.22 Ir.upf
Br 79.90 Br.upf
CELL_PARAMETERS angstrom
-1.453 2.339 4.689
1.453 -2.339 4.689
1.453 2.339 -4.689
ATOMIC_POSITIONS crystal
Mn 0.000 0.000 0.000
Ir 0.258 0.758 0.500
Ir 0.503 0.503 0.000
Br 0.743 0.243 0.500


Unit: eV/atom. Relative energies: A) 0.134; B) 0.000.


A) ! MnIr3Br, relaxed, DFT PBE; values from VASP
! **Volume**: 19.57 Å³ per atom
&SYSTEM
  ibrav = 0, nat = 5, ntyp = 3
/
ATOMIC_SPECIES
Mn 54.94 Mn.upf
Ir 192.22 Ir.upf
Br 79.90 Br.upf
CELL_PARAMETERS angstrom
4.608 0.000 0.000
0.000 4.608 0.000
0.000 0.000 4.608
ATOMIC_POSITIONS crystal
Mn 0.000 0.000 0.000
Ir 0.000 0.500 0.500
Ir 0.500 0.000 0.500
Ir 0.500 0.500 0.000
Br 0.500 0.500 0.500


B) ! MnIr3Br, relaxed, DFT PBE; values from VASP
! **Volume**: 18.70 Å³ per atom
&SYSTEM
  ibrav = 0, nat = 5, ntyp = 3
/
ATOMIC_SPECIES
Mn 54.94 Mn.upf
Ir 192.22 Ir.upf
Br 79.90 Br.upf
CELL_PARAMETERS angstrom
4.539 0.000 0.000
0.000 4.539 0.000
0.000 0.000 4.539
ATOMIC_POSITIONS crystal
Mn 0.000 0.000 0.000
Ir 0.000 0.000 0.500
Ir 0.000 0.500 0.000
Ir 0.500 0.000 0.000
Br 0.500 0.500 0.500


Unit: eV/atom. Relative energies: A) 0.141; B) 0.000.


A) ! MnIrBr, relaxed, DFT PBE; values from VASP
! **Volume**: 17.15 Å³ per atom
&SYSTEM
  ibrav = 0, nat = 3, ntyp = 3
/
ATOMIC_SPECIES
Mn 54.94 Mn.upf
Ir 192.22 Ir.upf
Br 79.90 Br.upf
CELL_PARAMETERS angstrom
4.387 0.000 0.000
-2.194 3.800 0.000
0.000 0.000 3.087
ATOMIC_POSITIONS crystal
Mn 0.000 0.000 0.000
Ir 0.667 0.333 0.496
Br 0.333 0.667 0.504


B) ! MnIrBr, relaxed, DFT PBE; values from VASP
! **Volume**: 18.53 Å³ per atom
&SYSTEM
  ibrav = 0, nat = 3, ntyp = 3
/
ATOMIC_SPECIES
Mn 54.94 Mn.upf
Ir 192.22 Ir.upf
Br 79.90 Br.upf
CELL_PARAMETERS angstrom
0.000 2.581 6.536
1.647 0.000 6.536
1.647 2.581 0.000
ATOMIC_POSITIONS crystal
Mn 0.000 0.000 0.000
Ir 0.636 0.636 0.364
Br 0.353 0.353 0.647


C) ! MnIrBr, relaxed, DFT PBE; values from VASP
! **Volume**: 18.31 Å³ per atom
&SYSTEM
  ibrav = 0, nat = 3, ntyp = 3
/
ATOMIC_SPECIES
Mn 54.94 Mn.upf
Ir 192.22 Ir.upf
Br 79.90 Br.upf
CELL_PARAMETERS angstrom
3.202 0.000 0.000
-1.601 2.773 0.000
0.000 0.000 6.186
ATOMIC_POSITIONS crystal
Mn 0.000 0.000 0.000
Ir 0.333 0.667 0.733
Br 0.667 0.333 0.295


Unit: eV/atom. Relative energies: A) 0.342; B) 0.112; C) 0.000.


A) ! Mo3IrBr, relaxed, DFT PBE; values from VASP
! **Volume**: 22.64 Å³ per atom
&SYSTEM
  ibrav = 0, nat = 5, ntyp = 3
/
ATOMIC_SPECIES
Mo 95.94 Mo.upf
Ir 192.22 Ir.upf
Br 79.90 Br.upf
CELL_PARAMETERS angstrom
4.837 0.000 0.000
0.000 4.837 0.000
0.000 0.000 4.837
ATOMIC_POSITIONS crystal
Mo 0.000 0.000 0.500
Mo 0.000 0.500 0.000
Mo 0.500 0.000 0.000
Ir 0.000 0.000 0.000
Br 0.500 0.500 0.500


B) ! Mo3IrBr, relaxed, DFT PBE; values from VASP
! **Volume**: 18.57 Å³ per atom
&SYSTEM
  ibrav = 0, nat = 5, ntyp = 3
/
ATOMIC_SPECIES
Mo 95.94 Mo.upf
Ir 192.22 Ir.upf
Br 79.90 Br.upf
CELL_PARAMETERS angstrom
4.528 0.000 0.000
0.000 4.528 0.000
0.000 0.000 4.528
ATOMIC_POSITIONS crystal
Mo 0.000 0.000 0.500
Mo 0.000 0.500 0.000
Mo 0.500 0.000 0.000
Ir 0.500 0.500 0.500
Br 0.000 0.000 0.000


Unit: eV/atom. Relative energies: A) 0.000; B) 0.018.


A) ! IrBrN, relaxed, DFT PBE; values from VASP
! **Volume**: 18.65 Å³ per atom
&SYSTEM
  ibrav = 0, nat = 3, ntyp = 3
/
ATOMIC_SPECIES
Ir 192.22 Ir.upf
Br 79.90 Br.upf
N 14.01 N.upf
CELL_PARAMETERS angstrom
2.832 -1.635 0.000
2.832 1.635 0.000
-0.025 0.000 6.044
ATOMIC_POSITIONS crystal
Ir 0.000 0.000 0.000
Br 0.002 0.002 0.404
N 0.666 0.666 0.913


B) ! IrBrN, relaxed, DFT PBE; values from VASP
! **Volume**: 22.45 Å³ per atom
&SYSTEM
  ibrav = 0, nat = 6, ntyp = 3
/
ATOMIC_SPECIES
Ir 192.22 Ir.upf
Br 79.90 Br.upf
N 14.01 N.upf
CELL_PARAMETERS angstrom
4.716 0.000 0.000
0.000 3.205 0.000
-0.144 0.000 8.914
ATOMIC_POSITIONS crystal
Ir 0.000 0.000 0.000
Ir 0.489 0.500 0.779
Br 0.211 0.500 0.203
Br 0.713 0.000 0.588
N 0.301 0.000 0.862
N 0.783 0.500 0.941


C) ! IrBrN, relaxed, DFT PBE; values from VASP
! **Volume**: 26.99 Å³ per atom
&SYSTEM
  ibrav = 0, nat = 6, ntyp = 3
/
ATOMIC_SPECIES
Ir 192.22 Ir.upf
Br 79.90 Br.upf
N 14.01 N.upf
CELL_PARAMETERS angstrom
3.703 0.000 0.000
-0.759 5.158 0.000
-0.621 -0.507 8.479
ATOMIC_POSITIONS crystal
Ir 0.000 0.000 0.000
Ir 0.176 0.611 0.824
Br 0.064 0.039 0.288
Br 0.643 0.574 0.615
N 0.063 0.297 0.900
N 0.482 0.873 0.954


D) ! IrBrN, relaxed, DFT PBE; values from VASP
! **Volume**: 28.51 Å³ per atom
&SYSTEM
  ibrav = 0, nat = 6, ntyp = 3
/
ATOMIC_SPECIES
Ir 192.22 Ir.upf
Br 79.90 Br.upf
N 14.01 N.upf
CELL_PARAMETERS angstrom
3.509 0.000 0.000
-1.732 5.349 0.000
-1.682 -1.842 9.114
ATOMIC_POSITIONS crystal
Ir 0.000 0.000 0.000
Ir 0.162 0.529 0.817
Br 0.108 0.653 0.580
Br 0.160 0.038 0.259
N 0.074 0.256 0.909
N 0.763 0.671 0.886


Unit: eV/atom. Relative energies: A) 0.142; B) 0.000; C) 0.025; D) 0.073.


A) ! Ir3BrN, relaxed, DFT PBE; values from VASP
! **Volume**: 14.79 Å³ per atom
&SYSTEM
  ibrav = 0, nat = 5, ntyp = 3
/
ATOMIC_SPECIES
Ir 192.22 Ir.upf
Br 79.90 Br.upf
N 14.01 N.upf
CELL_PARAMETERS angstrom
4.197 0.000 0.000
0.000 4.197 0.000
0.000 0.000 4.197
ATOMIC_POSITIONS crystal
Ir 0.000 0.000 0.500
Ir 0.000 0.500 0.000
Ir 0.500 0.000 0.000
Br 0.500 0.500 0.500
N 0.000 0.000 0.000


B) ! Ir3BrN, relaxed, DFT PBE; values from VASP
! **Volume**: 20.02 Å³ per atom
&SYSTEM
  ibrav = 0, nat = 5, ntyp = 3
/
ATOMIC_SPECIES
Ir 192.22 Ir.upf
Br 79.90 Br.upf
N 14.01 N.upf
CELL_PARAMETERS angstrom
4.643 0.000 0.000
0.000 4.643 0.000
0.000 0.000 4.643
ATOMIC_POSITIONS crystal
Ir 0.000 0.000 0.500
Ir 0.000 0.500 0.000
Ir 0.500 0.000 0.000
Br 0.000 0.000 0.000
N 0.500 0.500 0.500


Unit: eV/atom. Relative energies: A) 0.000; B) 1.780.


A) ! IrSeBrN2, relaxed, DFT PBE; values from VASP
! **Volume**: 20.91 Å³ per atom
&SYSTEM
  ibrav = 0, nat = 5, ntyp = 4
/
ATOMIC_SPECIES
Ir 192.22 Ir.upf
Se 78.96 Se.upf
Br 79.90 Br.upf
N 14.01 N.upf
CELL_PARAMETERS angstrom
3.673 0.000 0.000
0.000 3.673 0.000
0.000 0.000 7.753
ATOMIC_POSITIONS crystal
Ir 0.000 0.000 0.000
Se 0.500 0.500 0.000
Br 0.500 0.500 0.500
N 0.000 0.500 0.500
N 0.500 0.000 0.500


B) ! IrSeBrN2, relaxed, DFT PBE; values from VASP
! **Volume**: 16.65 Å³ per atom
&SYSTEM
  ibrav = 0, nat = 5, ntyp = 4
/
ATOMIC_SPECIES
Ir 192.22 Ir.upf
Se 78.96 Se.upf
Br 79.90 Br.upf
N 14.01 N.upf
CELL_PARAMETERS angstrom
3.821 0.000 0.000
0.000 3.821 0.000
0.000 0.000 5.699
ATOMIC_POSITIONS crystal
Ir 0.000 0.000 0.000
Se 0.000 0.000 0.500
Br 0.500 0.500 0.500
N 0.000 0.500 0.000
N 0.500 0.000 0.000


Unit: eV/atom. Relative energies: A) 1.535; B) 0.000.